Entry 1:
VASP calculation (GGA-PBEsol) on an optimized crystal structure of AlPN2.

Unit cell a=2.9094 b=2.9094 c=5.6157 alpha=74.99 beta=74.99 gamma=60.00
Closest atoms and distances in Å follow each position.
Atoms (fractional coordinates):
P: 0.0000 0.0000 0.0000  2 N 1.63
N: 0.8984 0.8984 0.3049  1 P 1.63
Al: 0.5000 0.5000 0.5000  6 N 1.98
N: 0.1016 0.1016 0.6951  1 P 1.63

**Magnetization**: 0.000 μB per formula unit
**DOS at the Fermi energy**: 0.19 states/eV per atom
**Formation energy without anion corrections**: -2.10 eV/f.u.
**Crystal system**: trigonal

***

Entry 2:
VASP calculation (GGA-PBEsol) on an optimized crystal structure of Sr3HfBr.

Unit cell a=5.8146 b=5.8146 c=5.8146 alpha=90.00 beta=90.00 gamma=90.00
Closest atoms and distances in Å follow each position.
Atoms (fractional coordinates):
Sr: 0.0000 0.0000 0.5000  2 Br 2.91
Hf: 0.5000 0.5000 0.5000  12 Sr 4.11
Br: 0.0000 0.0000 0.0000  6 Sr 2.91
Sr: 0.5000 0.0000 0.0000  2 Br 2.91
Sr: 0.0000 0.5000 0.0000  2 Br 2.91

**Magnetization**: 4.140 μB per formula unit
**DOS at the Fermi energy**: 1.39 states/eV per atom
**Formation energy without anion corrections**: 0.84 eV/f.u.
**Crystal system**: cubic

***

Entry 3:
VASP calculation (GGA-PBEsol) on an optimized crystal structure of PbSe3.

Unit cell a=6.9411 b=7.4376 c=8.5675 alpha=90.00 beta=90.00 gamma=90.00
Closest atoms and distances in Å follow each position.
Atoms (fractional coordinates):
Se: 0.2665 0.4991 0.6257  1 Se 2.47
Se: 0.7665 0.9991 0.8743  1 Se 2.47
Pb: 0.4136 0.2500 0.8766  7 Se 3.02-3.23
Se: 0.2665 0.0009 0.6257  1 Se 2.47
Pb: 0.9136 0.7500 0.6234  7 Se 3.02-3.23
Se: 0.9635 0.2500 0.9739  2 Se 2.47
Se: 0.4635 0.7500 0.5261  2 Se 2.47
Se: 0.5365 0.2500 0.4739  2 Se 2.47
Se: 0.7335 0.5009 0.3743  1 Se 2.47
Se: 0.7335 0.9991 0.3743  1 Se 2.47
Pb: 0.0864 0.2500 0.3766  7 Se 3.02-3.23
Se: 0.0365 0.7500 0.0261  2 Se 2.47
Se: 0.2335 0.0009 0.1257  1 Se 2.47
Se: 0.2335 0.4991 0.1257  1 Se 2.47
Pb: 0.5864 0.7500 0.1234  7 Se 3.02-3.23
Se: 0.7665 0.5009 0.8743  1 Se 2.47

**Magnetization**: 0.000 μB per formula unit
**Formation energy without anion corrections**: -0.70 eV/f.u.
**Crystal system**: orthorhombic

***

Entry 4:
VASP calculation (GGA-PBEsol) on an optimized crystal structure of Sr2YMnCu2O7.

Unit cell a=5.3935 b=5.4177 c=11.9773 alpha=103.07 beta=103.01 gamma=90.00
Closest atoms and distances in Å follow each position.
Atoms (fractional coordinates):
Y: 0.0157 0.0000 0.0000  8 O 2.36-2.43
O: 0.2047 0.1885 0.8709  2 Cu 1.91
Mn: 0.2193 0.8177 0.5000  4 O 1.80-1.93
Cu: 0.0850 0.5692 0.1374  4 O 1.91-1.92
Mn: 0.7193 0.1823 0.5000  4 O 1.80-1.93
Cu: 0.5850 0.0677 0.1374  4 O 1.91-1.92
Sr: 0.8687 0.8415 0.7043  7 O 2.49-2.73
O: 0.3338 0.8115 0.1291  2 Cu 1.91
O: 0.2038 0.6475 0.3504  1 Mn 1.80
Sr: 0.3687 0.3630 0.7043  7 O 2.49-2.73
Cu: 0.9476 0.4308 0.8626  4 O 1.91-1.92
O: 0.7048 0.1826 0.8709  2 Cu 1.91
Sr: 0.1644 0.1585 0.2957  7 O 2.49-2.73
Sr: 0.6644 0.6370 0.2957  7 O 2.49-2.73
O: 0.8534 0.3525 0.6496  1 Mn 1.80
O: 0.7038 0.2029 0.3504  1 Mn 1.80
O: 0.8255 0.3164 0.1258  2 Cu 1.92
O: 0.8790 0.8642 0.5000  2 Mn 1.85-1.93
O: 0.1998 0.6909 0.8742  2 Cu 1.92
O: 0.3790 0.1358 0.5000  2 Mn 1.85-1.93
O: 0.6998 0.6836 0.8742  2 Cu 1.92
Y: 0.5158 0.5000 0.0000  8 O 2.37-2.43
O: 0.3534 0.7971 0.6496  1 Mn 1.80
Cu: 0.4476 0.9323 0.8626  4 O 1.91-1.92
O: 0.8339 0.8174 0.1291  2 Cu 1.91
O: 0.3256 0.3091 0.1258  2 Cu 1.92

**Magnetization**: 3.601 μB per formula unit
**DOS at the Fermi energy**: 0.24 states/eV per atom
**Formation energy without anion corrections**: -27.11 eV/f.u.
**Crystal system**: orthorhombic

***

Entry 5:
VASP calculation (GGA-PBEsol) on an optimized crystal structure of ReRu.

Unit cell a=2.7163 b=5.1282 c=6.4002 alpha=103.31 beta=90.00 gamma=105.36
Closest atoms and distances in Å follow each position.
Atoms (fractional coordinates):
Ru: 0.0558 0.1117 0.6096  6 Re 2.65-2.71, 6 Ru 2.65-2.74
Re: 0.0038 0.0076 0.9966  6 Ru 2.63-2.73, 6 Re 2.72-2.75
Re: 0.3888 0.7775 0.2808  5 Re 2.66-2.73, 7 Ru 2.68-2.73
Ru: 0.7218 0.4436 0.9458  7 Re 2.63-2.73, 5 Ru 2.68-2.74
Re: 0.3303 0.6606 0.6651  7 Ru 2.65-2.71, 5 Re 2.66-2.75
Ru: 0.6661 0.3323 0.3354  5 Ru 2.65-2.72, 7 Re 2.68-2.73

**Magnetization**: 0.000 μB per formula unit
**DFT total energy**: -11.819 eV/atom
**DOS at the Fermi energy**: 0.78 states/eV per atom
**Crystal system**: monoclinic

***

Entry 6:
VASP calculation (GGA-PBEsol) on an optimized crystal structure of LiInBr2.

Unit cell a=4.1675 b=4.6936 c=6.4779 alpha=91.11 beta=108.76 gamma=90.00
Closest atoms and distances in Å follow each position.
Atoms (fractional coordinates):
Br: 0.7494 0.5610 0.4988  2 Li 2.49
Br: 0.0352 0.0746 0.0703  1 Li 2.45
In: 0.4944 0.5866 0.9888  5 Br 3.13-3.23
Li: 0.2210 0.2777 0.4420  3 Br 2.45-2.49

**Magnetization**: 0.000 μB per formula unit
**DOS at the Fermi energy**: 0.00 states/eV per atom
**Formation energy without anion corrections**: -3.93 eV/f.u.
**Crystal system**: monoclinic

***

Entry 7:
VASP calculation (GGA-PBEsol) on an optimized crystal structure of KZrAl2.

Unit cell a=4.9464 b=4.9464 c=10.5274 alpha=103.59 beta=103.59 gamma=90.00
Closest atoms and distances in Å follow each position.
Atoms (fractional coordinates):
Al: 0.6250 0.7760 0.7500  2 Al 2.66, 2 Zr 2.82
K: 0.7500 0.2500 0.5000  4 Al 3.41, 4 Zr 3.50
Al: 0.2240 0.8750 0.2500  2 Al 2.66, 2 Zr 2.82
Zr: 0.0000 0.0000 0.0000  4 Al 2.82
Al: 0.0260 0.3750 0.2500  2 Al 2.66, 2 Zr 2.82
K: 0.5000 0.5000 0.0000  4 Al 3.41, 4 Zr 3.50
Al: 0.1250 0.9740 0.7500  2 Al 2.66, 2 Zr 2.82
Zr: 0.2500 0.7500 0.5000  4 Al 2.82

**Magnetization**: 0.001 μB per formula unit
**DFT total energy**: -3.765 eV/atom
**DOS at the Fermi energy**: 1.37 states/eV per atom
**Crystal system**: tetragonal

***

Entry 8:
VASP calculation (GGA-PBEsol) on an optimized crystal structure of In3Te3Br.

Unit cell a=4.3041 b=11.2868 c=19.3401 alpha=90.00 beta=90.00 gamma=90.00
Closest atoms and distances in Å follow each position.
Atoms (fractional coordinates):
Te: 0.7500 0.2510 0.2050  3 In 2.82-2.86
Br: 0.7500 0.5742 0.6729  1 In 2.55
Br: 0.7500 0.0742 0.8271  1 In 2.55
Te: 0.2500 0.1472 0.9903  3 In 2.81-2.86
In: 0.7500 0.4416 0.1077  1 In 2.77, 3 Te 2.84-2.86
In: 0.2500 0.6858 0.0149  1 In 2.77, 3 Te 2.82-2.86
Te: 0.2500 0.6472 0.5097  3 In 2.81-2.86
Br: 0.2500 0.4258 0.3271  1 In 2.55
In: 0.7500 0.8578 0.8646  1 Br 2.55, 3 Te 2.81-2.82
In: 0.7500 0.8142 0.5149  1 In 2.77, 3 Te 2.82-2.86
In: 0.2500 0.5584 0.8923  1 In 2.77, 3 Te 2.84-2.86
Te: 0.2500 0.7490 0.7950  3 In 2.82-2.86
Te: 0.2500 0.5897 0.1495  3 In 2.82-2.84
In: 0.2500 0.0584 0.6077  1 In 2.77, 3 Te 2.84-2.86
Te: 0.7500 0.7510 0.2950  3 In 2.82-2.86
In: 0.2500 0.6422 0.3646  1 Br 2.55, 3 Te 2.81-2.82
Br: 0.2500 0.9258 0.1729  1 In 2.55
In: 0.7500 0.3578 0.6354  1 Br 2.55, 3 Te 2.81-2.82
Te: 0.2500 0.0897 0.3505  3 In 2.82-2.84
In: 0.2500 0.1858 0.4851  1 In 2.77, 3 Te 2.82-2.86
Te: 0.7500 0.3528 0.4903  3 In 2.81-2.86
Te: 0.7500 0.8528 0.0097  3 In 2.81-2.86
In: 0.2500 0.1422 0.1354  1 Br 2.55, 3 Te 2.81-2.82
Te: 0.2500 0.2490 0.7050  3 In 2.82-2.86
Te: 0.7500 0.4103 0.8505  3 In 2.82-2.84
Te: 0.7500 0.9103 0.6495  3 In 2.82-2.84
In: 0.7500 0.9416 0.3923  1 In 2.77, 3 Te 2.84-2.86
In: 0.7500 0.3142 0.9851  1 In 2.77, 3 Te 2.82-2.86

**Magnetization**: 0.000 μB per formula unit
**Formation energy without anion corrections**: -2.76 eV/f.u.
**Crystal system**: orthorhombic

***

Entry 9:
VASP calculation (GGA-PBEsol) on an optimized crystal structure of AlCu.

Unit cell a=2.9571 b=2.9571 c=2.9571 alpha=90.00 beta=90.00 gamma=90.00
Closest atoms and distances in Å follow each position.
Atoms (fractional coordinates):
Cu: 0.5000 0.5000 0.5000  8 Al 2.56
Al: 0.0000 0.0000 0.0000  8 Cu 2.56

**Magnetization**: 0.000 μB per formula unit
**DFT total energy**: -4.371 eV/atom
**DOS at the Fermi energy**: 0.26 states/eV per atom
**Crystal system**: cubic

***

Entry 10:
VASP calculation (GGA-PBEsol) on an optimized crystal structure of B3WCl.

Unit cell a=4.2789 b=4.2789 c=4.2789 alpha=90.00 beta=90.00 gamma=90.00
Closest atoms and distances in Å follow each position.
Atoms (fractional coordinates):
Cl: 0.5000 0.5000 0.5000  12 B 3.03
B: 0.0000 0.0000 0.5000  2 W 2.14
W: 0.0000 0.0000 0.0000  6 B 2.14
B: 0.0000 0.5000 0.0000  2 W 2.14
B: 0.5000 0.0000 0.0000  2 W 2.14

**Magnetization**: 1.261 μB per formula unit
**DOS at the Fermi energy**: 1.13 states/eV per atom
**Formation energy without anion corrections**: 8.93 eV/f.u.
**Crystal system**: cubic

***

Entry 11:
VASP calculation (GGA-PBEsol) on an optimized crystal structure of SiGeAu2.

Unit cell a=4.3286 b=4.3286 c=8.4904 alpha=104.77 beta=104.77 gamma=90.00
Closest atoms and distances in Å follow each position.
Atoms (fractional coordinates):
Au: 0.3931 0.8750 0.2500  2 Si 2.47, 2 Ge 2.54
Ge: 0.0000 0.0000 0.0000  4 Au 2.54
Au: 0.8569 0.3750 0.2500  2 Si 2.47, 2 Ge 2.54
Au: 0.1250 0.1431 0.7500  2 Si 2.47, 2 Ge 2.54
Ge: 0.2500 0.7500 0.5000  4 Au 2.54
Au: 0.6250 0.6069 0.7500  2 Si 2.47, 2 Ge 2.54
Si: 0.7500 0.2500 0.5000  4 Au 2.47
Si: 0.5000 0.5000 0.0000  4 Au 2.47

**Magnetization**: 0.000 μB per formula unit
**DOS at the Fermi energy**: 0.30 states/eV per atom
**Formation energy without anion corrections**: 0.15 eV/f.u.
**Crystal system**: tetragonal

***

Entry 12:
VASP calculation (GGA-PBEsol) on an optimized crystal structure of YAl2Fe.

Unit cell a=4.5078 b=4.5078 c=4.5078 alpha=60.00 beta=60.00 gamma=60.00
Closest atoms and distances in Å follow each position.
Atoms (fractional coordinates):
Al: 0.2500 0.2500 0.2500  4 Fe 2.76, 4 Y 2.76
Y: 0.5000 0.5000 0.5000  8 Al 2.76
Fe: 0.0000 0.0000 0.0000  8 Al 2.76
Al: 0.7500 0.7500 0.7500  4 Fe 2.76, 4 Y 2.76

**Magnetization**: 0.068 μB per formula unit
**DFT total energy**: -6.082 eV/atom
**DOS at the Fermi energy**: 0.73 states/eV per atom
**Crystal system**: cubic

***

> What is the magnetization in the second record?

4.140 μB per formula unit

***

> Which formula does entry 6 have?

LiInBr2